# 1
VASP calculation (PBE) on crystalline CdCuTc2 at its relaxed geometry.

Values from the calculation:
ΔH_f (0 K) = 0.451 eV/atom
crystal system = monoclinic
volume = 15.4 Å³ per atom

Cell and atoms, written as CIF:
```
data_CdCuTc2
_chemical_formula_sum 'Cd1 Cu1 Tc2'
_cell_length_a 2.657
_cell_length_b 4.504
_cell_length_c 5.286
_cell_angle_alpha 90.00
_cell_angle_beta 102.59
_cell_angle_gamma 90.00
_symmetry_space_group_name_H-M 'P 1 2/m 1'
_symmetry_Int_Tables_number 10
_symmetry_space_group_name_Hall '-P 2y'
loop_
_atom_site_label
_atom_site_type_symbol
_atom_site_fract_x
_atom_site_fract_y
_atom_site_fract_z
_atom_site_occupancy
Cd1 Cd 0.000 0.000 0.000 1
Cu1 Cu 0.000 0.000 0.500 1
Tc1 Tc 0.473 0.500 0.730 1
```



# 2
VASP calculation (PBE) on crystalline Li5Bi3Br12 at its relaxed geometry.

Values from the calculation:
calculated total energy = -3.0385 eV/atom
crystal system = cubic
volume = 29.3 Å³ per atom

Cell and atoms, written as CIF:
```
data_Li5Bi3Br12
_chemical_formula_sum 'Li40 Bi24 Br96'
_cell_length_a 16.740
_cell_length_b 16.740
_cell_length_c 16.740
_cell_angle_alpha 90.00
_cell_angle_beta 90.00
_cell_angle_gamma 90.00
_symmetry_space_group_name_H-M 'I a -3 d'
_symmetry_Int_Tables_number 230
_symmetry_space_group_name_Hall '-I 4bd 2c 3'
loop_
_atom_site_label
_atom_site_type_symbol
_atom_site_fract_x
_atom_site_fract_y
_atom_site_fract_z
_atom_site_occupancy
Li1 Li 0.000 0.000 0.000 1
Li2 Li 0.000 0.250 0.375 1
Bi1 Bi 0.000 0.250 0.125 1
Br1 Br 0.018 0.050 0.655 1
```



# 3
VASP calculation (PBE) on crystalline Dy2YP at its relaxed geometry.

Values from the calculation:
ΔH_f (0 K) = -0.510 eV/atom
crystal system = trigonal
volume = 30.6 Å³ per atom

Cell and atoms, written as CIF:
```
data_Dy2YP
_chemical_formula_sum 'Dy6 Y3 P3'
_cell_length_a 3.7381
_cell_length_b 3.7381
_cell_length_c 30.3417
_cell_angle_alpha 90.00
_cell_angle_beta 90.00
_cell_angle_gamma 120.00
_symmetry_space_group_name_H-M 'R -3 m'
_symmetry_Int_Tables_number 166
_symmetry_space_group_name_Hall '-R 3 2"'
loop_
_atom_site_label
_atom_site_type_symbol
_atom_site_fract_x
_atom_site_fract_y
_atom_site_fract_z
_atom_site_occupancy
Dy1 Dy 0.0000 0.0000 0.1132 1
Y1 Y 0.0000 0.0000 0.0000 1
P1 P 0.0000 0.0000 0.5000 1
```



# 4
VASP calculation (PBE) on crystalline Tc2RuBr at its relaxed geometry.

Values from the calculation:
offset from the most stable computed form = 0.2370 eV per atom
crystal system = orthorhombic
volume = 15.0 Å³ per atom

Cell and atoms, written as CIF:
```
data_Tc2RuBr
_chemical_formula_sum 'Tc4 Ru2 Br2'
_cell_length_a 2.951
_cell_length_b 4.491
_cell_length_c 9.070
_cell_angle_alpha 90.00
_cell_angle_beta 90.00
_cell_angle_gamma 90.00
_symmetry_space_group_name_H-M 'I m m 2'
_symmetry_Int_Tables_number 44
_symmetry_space_group_name_Hall 'I 2 -2'
loop_
_atom_site_label
_atom_site_type_symbol
_atom_site_fract_x
_atom_site_fract_y
_atom_site_fract_z
_atom_site_occupancy
Tc1 Tc 0.000 0.000 0.000 1
Tc2 Tc 0.000 0.500 0.236 1
Ru1 Ru 0.000 0.000 0.464 1
Br1 Br 0.000 0.500 0.731 1
```



# 5
VASP calculation (PBE) on crystalline CaSi2Rh at its relaxed geometry.

Values from the calculation:
calculated total energy = -5.4349 eV/atom
crystal system = tetragonal
volume = 17.3 Å³ per atom

Cell and atoms, written as CIF:
```
data_CaSi2Rh
_chemical_formula_sum 'Ca1 Si2 Rh1'
_cell_length_a 3.197
_cell_length_b 3.197
_cell_length_c 6.761
_cell_angle_alpha 90.00
_cell_angle_beta 90.00
_cell_angle_gamma 90.00
_symmetry_space_group_name_H-M 'P 4 m m'
_symmetry_Int_Tables_number 99
_symmetry_space_group_name_Hall 'P 4 -2'
loop_
_atom_site_label
_atom_site_type_symbol
_atom_site_fract_x
_atom_site_fract_y
_atom_site_fract_z
_atom_site_occupancy
Ca1 Ca 0.000 0.000 0.000 1
Si1 Si 0.000 0.000 0.490 1
Si2 Si 0.500 0.500 0.696 1
Rh1 Rh 0.500 0.500 0.332 1
```



- Number 1 is which compound?
  CdCuTc2